# LaLu

A relaxed structure of LaLu (PBE, the Alexandria database).

Unit cell a=4.064 b=4.064 c=4.064 alpha=90.00 beta=90.00 gamma=90.00
Sites, in units of the cell vectors:
Lu 0.000 0.000 0.000
La 0.500 0.500 0.500

Properties
V   33.56 Å³ per atom
Space group   Pm-3m
Spin magnetization   0.00 μB per atom
Formation energy   0.052 eV per atom